This record from the Alexandria database describes a geometry-optimized Mg3In5 structure. The functional is PBE.

space-group type: Cm, No. 8
formation enthalpy at 0 K: -0.022 eV/atom
spin magnetization: 0.0 μB per formula unit

```
16
Lattice="8.9915 -0.0506 0.1380 -7.0079 5.6337 0.1380 -0.8824 -2.4838 7.8366" Properties=species:S:1:pos:R:3 pbc="T T T"
In 1.6784 -0.2282 5.2255
Mg -0.5620 -0.9993 7.2769
In -0.0044 2.9497 2.2798
In -3.4455 2.9813 4.6779
In -0.4543 3.6735 5.3635
In 2.9696 1.8547 1.3825
In 6.8659 0.4704 1.3825
Mg 2.3522 2.6487 4.4677
In -2.2957 1.5210 7.2377
In -5.2590 2.5738 7.2377
In 0.8727 -0.5059 2.1418
Mg 4.2657 -0.6728 6.9787
Mg 0.7973 1.6616 7.4148
Mg -1.1456 0.7475 4.3298
In 4.5825 0.2188 3.6068
Mg -3.2837 3.4368 1.7868
```


This record from the Alexandria database describes a geometry-optimized HoEr4Zn structure. The functional is PBE.

space-group type: P4/mmm, No. 123
formation enthalpy at 0 K: -0.099 eV/atom
spin magnetization: 0.0 μB per formula unit

```
6
Lattice="3.5134 0.0000 0.0000 0.0000 3.5134 0.0000 0.0000 0.0000 13.5660" Properties=species:S:1:pos:R:3 pbc="T T T"
Er 0.0000 0.0000 5.0094
Er 1.7567 1.7567 2.4787
Zn 1.7567 1.7567 6.7830
Er 0.0000 0.0000 8.5565
Ho 0.0000 0.0000 0.0000
Er 1.7567 1.7567 11.0873
```


This record from the Alexandria database describes a geometry-optimized La2Hg2I structure. The functional is PBE.

space-group type: P4/mbm, No. 127
total DFT energy (no corrections): -30.34 eV for the cell shown
spin magnetization: 0.0 μB per formula unit

```
10
Lattice="-1.5031 0.6732 -8.5995 -1.6468 -8.5909 -0.3847 -4.1116 0.7533 0.7776" Properties=species:S:1:pos:R:3 pbc="T T T"
I -1.5749 -3.9589 -4.4921
La -2.3505 -5.1709 -7.4186
I 0.0000 0.0000 0.0000
Hg -3.2870 -4.9440 -0.9668
Hg -2.8260 -0.4862 -2.8473
Hg -3.9744 -2.2205 -7.2398
La -1.2781 -0.9870 -5.8016
Hg -4.4355 -6.6782 -5.3592
La -1.8718 -6.9308 -3.1826
La -0.7994 -2.7469 -1.5655
```